(1)
Here is an optimized crystal structure of Be2ZnAg2 from Alexandria. Energies are from GGA-PBE.

Geometry as extended XYZ:
```
10
Lattice="6.620 0.000 0.000 0.000 6.620 0.000 0.000 0.000 3.024" Properties=species:S:1:pos:R:3 pbc="T T T"
Be 0.844 2.466 0.000
Be 2.466 5.776 0.000
Be 4.154 0.844 0.000
Be 5.776 4.154 0.000
Zn 0.000 0.000 0.000
Zn 3.310 3.310 0.000
Ag 1.093 4.403 1.512
Ag 2.217 1.093 1.512
Ag 4.403 5.527 1.512
Ag 5.527 2.217 1.512
```

Calculated values
Total energy in eV for the cell shown: -27.62
Symmetry: No. 127
Formation enthalpy at 0 K in eV per formula unit: 0.62

(2)
Here is an optimized crystal structure of MoAs from Alexandria. Energies are from GGA-PBE.

Geometry as extended XYZ:
```
4
Lattice="3.069 0.000 0.000 -1.534 2.658 0.000 0.000 0.000 8.700" Properties=species:S:1:pos:R:3 pbc="T T T"
Mo 0.000 1.772 0.000
Mo 1.535 0.886 4.350
As 0.000 1.772 6.148
As 1.535 0.886 1.797
```

Calculated values
Total energy in eV for the cell shown: -30.06
Symmetry: No. 186
Formation enthalpy at 0 K in eV per formula unit: 0.45

(3)
Here is an optimized crystal structure of NaSn5Pb4 from Alexandria. Energies are from GGA-PBE.

Geometry as extended XYZ:
```
10
Lattice="3.489 0.000 0.000 0.000 3.489 0.000 0.000 0.000 24.071" Properties=species:S:1:pos:R:3 pbc="T T T"
Na 0.000 0.000 0.000
Sn 1.745 1.745 2.362
Sn 1.745 1.745 7.175
Sn 1.745 1.745 12.035
Sn 1.745 1.745 16.896
Sn 1.745 1.745 21.709
Pb 0.000 0.000 4.674
Pb 0.000 0.000 9.584
Pb 0.000 0.000 14.487
Pb 0.000 0.000 19.396
```

Calculated values
Total energy in eV for the cell shown: -36.14
Symmetry: No. 123
Formation enthalpy at 0 K in eV per formula unit: 0.02

(4)
Here is an optimized crystal structure of KZr4Se from Alexandria. Energies are from GGA-PBE.

Geometry as extended XYZ:
```
6
Lattice="0.000 4.289 4.289 4.289 0.000 4.289 4.289 4.289 0.000" Properties=species:S:1:pos:R:3 pbc="T T T"
K 0.000 0.000 0.000
Zr 3.194 3.194 3.194
Zr 5.385 5.385 3.194
Zr 5.385 3.194 5.385
Zr 3.194 5.385 5.385
Se 6.434 6.434 6.434
```

Calculated values
Total energy in eV for the cell shown: -34.71
Uncorrected formation energy in meV per atom: 677
Symmetry: No. 216

(5)
Here is an optimized crystal structure of Pr3BiH from Alexandria. Energies are from GGA-PBE.

Geometry as extended XYZ:
```
5
Lattice="5.059 0.000 0.000 0.000 5.059 0.000 0.000 0.000 5.059" Properties=species:S:1:pos:R:3 pbc="T T T"
Pr 0.000 0.000 2.529
Pr 0.000 2.529 0.000
Pr 2.529 0.000 0.000
Bi 2.529 2.529 2.529
H 0.000 0.000 0.000
```

Calculated values
Total energy in eV for the cell shown: -24.13
Symmetry: No. 221

(6)
Here is an optimized crystal structure of Li2HoZn2Ga2 from Alexandria. Energies are from GGA-PBE.

Geometry as extended XYZ:
```
7
Lattice="3.795 -2.194 0.000 3.795 2.194 0.000 -2.583 0.000 7.621" Properties=species:S:1:pos:R:3 pbc="T T T"
Li -0.010 0.000 3.133
Li 5.017 0.000 4.488
Ho 0.000 0.000 0.000
Zn 2.526 0.000 1.875
Zn 2.481 0.000 5.746
Ga -0.052 0.000 5.955
Ga 5.058 0.000 1.666
```

Calculated values
Total energy in eV for the cell shown: -19.54
Symmetry: No. 12
Formation enthalpy at 0 K in eV per formula unit: -2.54

Computed values of V (unit: Å³/atom) for the preceding records, in sequence: 13.3, 17.7, 29.3, 26.3, 25.9, 18.1.